# 1
Density functional theory data (PBE) for a relaxed Pm2Al crystal.

## Properties
For the density, the calculation gives 6.2 g cm⁻³. As for the spin magnetization: 0.00 μB per formula unit.

Cell lengths 5.3663, 9.2781, 6.8285 Å; angles 90.00, 90.00, 90.00 degrees
Space group Cmcm (No. 63)
One atom of each set of equivalent atoms:
1 Pm 0.0000 0.0000 0.0000 x4
2 Pm 0.0000 0.3335 0.2500 x4
3 Al 0.0000 0.3330 0.7500 x4


# 2
Density functional theory data (PBE) for a relaxed HfZn7Cu5 crystal.

## Properties
For the density, the calculation gives 8.7 g cm⁻³. As for the spin magnetization: 0.00 μB per formula unit.

Cell lengths 4.9273, 8.6646, 8.5737 Å; angles 90.00, 90.00, 90.00 degrees
Space group Imm2 (No. 44)
One atom of each set of equivalent atoms:
1 Hf 0.0000 0.0000 0.0000 x2
2 Zn 0.0000 0.0000 0.3379 x2
3 Zn 0.0000 0.0000 0.6518 x2
4 Zn 0.0000 0.2962 0.4927 x4
5 Zn 0.0000 0.3453 0.9862 x4
6 Zn 0.0000 0.5000 0.2774 x2
7 Cu 0.0000 0.5000 0.7074 x2
8 Cu 0.2485 0.2493 0.2395 x8


| no. | ΔH_f (0 K) (meV per atom) |
| --- | --- |
| 1 | -230 |
| 2 | -118 |